Record 1
Material: LaCu6Au12
Method: DFT, GGA-PBE
State: optimized geometry

Values from the calculation:
ΔH_f (0 K): -73 meV per atom
Raw total energy: -70.2 eV/cell
DOS at the Fermi energy: 5.8 states/eV/cell
Space group: R-3m

Geometry as CIF:
```
data_LaCu6Au12
_cell_length_a 7.3991
_cell_length_b 7.3991
_cell_length_c 7.3991
_cell_angle_alpha 105.42
_cell_angle_beta 105.42
_cell_angle_gamma 105.42
_symmetry_space_group_name_H-M 'P 1'
_symmetry_Int_Tables_number 1
_symmetry_space_group_name_Hall 'P 1'
loop_
_atom_site_label
_atom_site_type_symbol
_atom_site_fract_x
_atom_site_fract_y
_atom_site_fract_z
La1 La 0.0000 0.0000 0.0000
Cu1 Cu 0.2879 0.2879 0.6891
Cu2 Cu 0.2879 0.6891 0.2879
Cu3 Cu 0.3109 0.7121 0.7121
Cu4 Cu 0.6891 0.2879 0.2879
Cu5 Cu 0.7121 0.3109 0.7121
Cu6 Cu 0.7121 0.7121 0.3109
Au1 Au 0.1181 0.5000 0.8819
Au2 Au 0.1181 0.8819 0.5000
Au3 Au 0.1241 0.3798 0.3798
Au4 Au 0.3798 0.1241 0.3798
Au5 Au 0.3798 0.3798 0.1241
Au6 Au 0.5000 0.1181 0.8819
Au7 Au 0.5000 0.8819 0.1181
Au8 Au 0.6202 0.6202 0.8759
Au9 Au 0.6202 0.8759 0.6202
Au10 Au 0.8759 0.6202 0.6202
Au11 Au 0.8819 0.1181 0.5000
Au12 Au 0.8819 0.5000 0.1181
```



Record 2
Material: LaCu2Au
Method: DFT, GGA-PBE
State: optimized geometry

Values from the calculation:
ΔH_f (0 K): -205 meV per atom
Raw total energy: -68.9 eV/cell
DOS at the Fermi energy: 7.9 states/eV/cell
Space group: F-43m

Geometry as CIF:
```
data_LaCu2Au
_cell_length_a 6.9025
_cell_length_b 6.9025
_cell_length_c 6.9025
_cell_angle_alpha 90.00
_cell_angle_beta 90.00
_cell_angle_gamma 90.00
_symmetry_space_group_name_H-M 'P 1'
_symmetry_Int_Tables_number 1
_symmetry_space_group_name_Hall 'P 1'
loop_
_atom_site_label
_atom_site_type_symbol
_atom_site_fract_x
_atom_site_fract_y
_atom_site_fract_z
La1 La 0.0000 0.0000 0.0000
La2 La 0.0000 0.5000 0.5000
La3 La 0.5000 0.0000 0.5000
La4 La 0.5000 0.5000 0.0000
Cu1 Cu 0.0000 0.0000 0.5000
Cu2 Cu 0.0000 0.5000 0.0000
Cu3 Cu 0.2500 0.2500 0.2500
Cu4 Cu 0.2500 0.7500 0.7500
Cu5 Cu 0.5000 0.0000 0.0000
Cu6 Cu 0.5000 0.5000 0.5000
Cu7 Cu 0.7500 0.2500 0.7500
Cu8 Cu 0.7500 0.7500 0.2500
Au1 Au 0.2500 0.2500 0.7500
Au2 Au 0.2500 0.7500 0.2500
Au3 Au 0.7500 0.2500 0.2500
Au4 Au 0.7500 0.7500 0.7500
```



Record 3
Material: La3Cu3Au
Method: DFT, GGA-PBE
State: optimized geometry

Values from the calculation:
ΔH_f (0 K): -336 meV per atom
Raw total energy: -65.4 eV/cell
DOS at the Fermi energy: 14.3 states/eV/cell
Space group: Imm2

Geometry as CIF:
```
data_La3Cu3Au
_cell_length_a 3.9400
_cell_length_b 4.3912
_cell_length_c 19.8450
_cell_angle_alpha 90.00
_cell_angle_beta 90.00
_cell_angle_gamma 90.00
_symmetry_space_group_name_H-M 'P 1'
_symmetry_Int_Tables_number 1
_symmetry_space_group_name_Hall 'P 1'
loop_
_atom_site_label
_atom_site_type_symbol
_atom_site_fract_x
_atom_site_fract_y
_atom_site_fract_z
La1 La 0.0000 0.0000 0.0000
La2 La 0.0000 0.0000 0.3677
La3 La 0.0000 0.5000 0.1795
La4 La 0.5000 0.0000 0.6795
La5 La 0.5000 0.5000 0.5000
La6 La 0.5000 0.5000 0.8677
Cu1 Cu 0.0000 0.0000 0.5477
Cu2 Cu 0.0000 0.0000 0.8270
Cu3 Cu 0.0000 0.5000 0.6132
Cu4 Cu 0.5000 0.0000 0.1132
Cu5 Cu 0.5000 0.5000 0.0477
Cu6 Cu 0.5000 0.5000 0.3270
Au1 Au 0.0000 0.5000 0.7458
Au2 Au 0.5000 0.0000 0.2458
```



Record 4
Material: LaLuCuAu
Method: DFT, GGA-PBE
State: optimized geometry

Values from the calculation:
ΔH_f (0 K): -480 meV per atom
Raw total energy: -75.0 eV/cell
DOS at the Fermi energy: 16.8 states/eV/cell
Space group: F-43m

Geometry as CIF:
```
data_LaLuCuAu
_cell_length_a 7.2313
_cell_length_b 7.2313
_cell_length_c 7.2313
_cell_angle_alpha 90.00
_cell_angle_beta 90.00
_cell_angle_gamma 90.00
_symmetry_space_group_name_H-M 'P 1'
_symmetry_Int_Tables_number 1
_symmetry_space_group_name_Hall 'P 1'
loop_
_atom_site_label
_atom_site_type_symbol
_atom_site_fract_x
_atom_site_fract_y
_atom_site_fract_z
La1 La 0.0000 0.0000 0.0000
La2 La 0.0000 0.5000 0.5000
La3 La 0.5000 0.0000 0.5000
La4 La 0.5000 0.5000 0.0000
Lu1 Lu 0.0000 0.0000 0.5000
Lu2 Lu 0.0000 0.5000 0.0000
Lu3 Lu 0.5000 0.0000 0.0000
Lu4 Lu 0.5000 0.5000 0.5000
Cu1 Cu 0.2500 0.2500 0.2500
Cu2 Cu 0.2500 0.7500 0.7500
Cu3 Cu 0.7500 0.2500 0.7500
Cu4 Cu 0.7500 0.7500 0.2500
Au1 Au 0.2500 0.2500 0.7500
Au2 Au 0.2500 0.7500 0.2500
Au3 Au 0.7500 0.2500 0.2500
Au4 Au 0.7500 0.7500 0.7500
```



Record 5
Material: LaMg2CuAu4
Method: DFT, GGA-PBE
State: optimized geometry

Values from the calculation:
ΔH_f (0 K): -542 meV per atom
Raw total energy: -29.7 eV/cell
DOS at the Fermi energy: 3.7 states/eV/cell
Space group: R-3m

Geometry as CIF:
```
data_LaMg2CuAu4
_cell_length_a 9.3931
_cell_length_b 9.3931
_cell_length_c 9.3931
_cell_angle_alpha 28.12
_cell_angle_beta 28.12
_cell_angle_gamma 28.12
_symmetry_space_group_name_H-M 'P 1'
_symmetry_Int_Tables_number 1
_symmetry_space_group_name_Hall 'P 1'
loop_
_atom_site_label
_atom_site_type_symbol
_atom_site_fract_x
_atom_site_fract_y
_atom_site_fract_z
La1 La 0.0000 0.0000 0.0000
Mg1 Mg 0.2335 0.2335 0.2335
Mg2 Mg 0.7665 0.7665 0.7665
Cu1 Cu 0.5000 0.5000 0.5000
Au1 Au 0.1302 0.1302 0.1302
Au2 Au 0.4000 0.4000 0.4000
Au3 Au 0.6000 0.6000 0.6000
Au4 Au 0.8698 0.8698 0.8698
```



Record 6
Material: LaCuAuN2
Method: DFT, GGA-PBE
State: optimized geometry

Values from the calculation:
Raw total energy: -21.6 eV/cell
DOS at the Fermi energy: 3.0 states/eV/cell
Space group: P4/mmm
Formation energy without anion corrections: 1.4622 eV/atom

Geometry as CIF:
```
data_LaCuAuN2
_cell_length_a 4.1464
_cell_length_b 4.1464
_cell_length_c 5.8944
_cell_angle_alpha 90.00
_cell_angle_beta 90.00
_cell_angle_gamma 90.00
_symmetry_space_group_name_H-M 'P 1'
_symmetry_Int_Tables_number 1
_symmetry_space_group_name_Hall 'P 1'
loop_
_atom_site_label
_atom_site_type_symbol
_atom_site_fract_x
_atom_site_fract_y
_atom_site_fract_z
La1 La 0.0000 0.0000 0.0000
Cu1 Cu 0.5000 0.5000 0.0000
Au1 Au 0.0000 0.0000 0.5000
N1 N 0.0000 0.5000 0.5000
N2 N 0.5000 0.0000 0.5000
```



Record 7
Material: La2CuAuN
Method: DFT, GGA-PBE
State: optimized geometry

Values from the calculation:
E above lowest polymorph: 0 meV/atom
Raw total energy: -58.7 eV/cell
DOS at the Fermi energy: 7.0 states/eV/cell
Space group: P2_1/m
Formation energy without anion corrections: -0.7551 eV/atom

Geometry as CIF:
```
data_La2CuAuN
_cell_length_a 7.2644
_cell_length_b 3.8870
_cell_length_c 8.2034
_cell_angle_alpha 90.00
_cell_angle_beta 109.15
_cell_angle_gamma 90.00
_symmetry_space_group_name_H-M 'P 1'
_symmetry_Int_Tables_number 1
_symmetry_space_group_name_Hall 'P 1'
loop_
_atom_site_label
_atom_site_type_symbol
_atom_site_fract_x
_atom_site_fract_y
_atom_site_fract_z
La1 La 0.1954 0.2500 0.3922
La2 La 0.2024 0.2500 0.9603
La3 La 0.7976 0.7500 0.0397
La4 La 0.8046 0.7500 0.6078
Cu1 Cu 0.4376 0.7500 0.2464
Cu2 Cu 0.5624 0.2500 0.7536
Au1 Au 0.3072 0.7500 0.7051
Au2 Au 0.6928 0.2500 0.2949
N1 N 0.1450 0.7500 0.1744
N2 N 0.8550 0.2500 0.8256
```



Record 8
Material: La2CuAuN
Method: DFT, GGA-PBE
State: optimized geometry

Values from the calculation:
E above lowest polymorph: 30 meV/atom
Raw total energy: -29.2 eV/cell
DOS at the Fermi energy: 4.5 states/eV/cell
Space group: P4/mmm
Formation energy without anion corrections: -0.7250 eV/atom

Geometry as CIF:
```
data_La2CuAuN
_cell_length_a 5.2179
_cell_length_b 5.2179
_cell_length_c 3.8722
_cell_angle_alpha 90.00
_cell_angle_beta 90.00
_cell_angle_gamma 90.00
_symmetry_space_group_name_H-M 'P 1'
_symmetry_Int_Tables_number 1
_symmetry_space_group_name_Hall 'P 1'
loop_
_atom_site_label
_atom_site_type_symbol
_atom_site_fract_x
_atom_site_fract_y
_atom_site_fract_z
La1 La 0.0000 0.5000 0.0000
La2 La 0.5000 0.0000 0.0000
Cu1 Cu 0.0000 0.0000 0.5000
Au1 Au 0.5000 0.5000 0.5000
N1 N 0.0000 0.0000 0.0000
```



Record 9
Material: LaNdCuAu
Method: DFT, GGA-PBE
State: optimized geometry

Values from the calculation:
ΔH_f (0 K): -485 meV per atom
E above lowest polymorph: 0 meV/atom
Raw total energy: -38.0 eV/cell
DOS at the Fermi energy: 7.6 states/eV/cell
Space group: Amm2

Geometry as CIF:
```
data_LaNdCuAu
_cell_length_a 4.7112
_cell_length_b 4.0002
_cell_length_c 11.0862
_cell_angle_alpha 90.00
_cell_angle_beta 90.00
_cell_angle_gamma 90.00
_symmetry_space_group_name_H-M 'P 1'
_symmetry_Int_Tables_number 1
_symmetry_space_group_name_Hall 'P 1'
loop_
_atom_site_label
_atom_site_type_symbol
_atom_site_fract_x
_atom_site_fract_y
_atom_site_fract_z
La1 La 0.0000 0.0000 0.0000
La2 La 0.0000 0.5000 0.5000
Nd1 Nd 0.5000 0.0000 0.7222
Nd2 Nd 0.5000 0.5000 0.2222
Cu1 Cu 0.0000 0.0000 0.2840
Cu2 Cu 0.0000 0.5000 0.7840
Au1 Au 0.5000 0.0000 0.4350
Au2 Au 0.5000 0.5000 0.9350
```



Record 10
Material: LaNdCuAu
Method: DFT, GGA-PBE
State: optimized geometry

Values from the calculation:
ΔH_f (0 K): -442 meV per atom
E above lowest polymorph: 43 meV/atom
Raw total energy: -75.4 eV/cell
DOS at the Fermi energy: 14.0 states/eV/cell
Space group: F-43m

Geometry as CIF:
```
data_LaNdCuAu
_cell_length_a 7.4041
_cell_length_b 7.4041
_cell_length_c 7.4041
_cell_angle_alpha 90.00
_cell_angle_beta 90.00
_cell_angle_gamma 90.00
_symmetry_space_group_name_H-M 'P 1'
_symmetry_Int_Tables_number 1
_symmetry_space_group_name_Hall 'P 1'
loop_
_atom_site_label
_atom_site_type_symbol
_atom_site_fract_x
_atom_site_fract_y
_atom_site_fract_z
La1 La 0.0000 0.0000 0.0000
La2 La 0.0000 0.5000 0.5000
La3 La 0.5000 0.0000 0.5000
La4 La 0.5000 0.5000 0.0000
Nd1 Nd 0.0000 0.0000 0.5000
Nd2 Nd 0.0000 0.5000 0.0000
Nd3 Nd 0.5000 0.0000 0.0000
Nd4 Nd 0.5000 0.5000 0.5000
Cu1 Cu 0.2500 0.2500 0.2500
Cu2 Cu 0.2500 0.7500 0.7500
Cu3 Cu 0.7500 0.2500 0.7500
Cu4 Cu 0.7500 0.7500 0.2500
Au1 Au 0.2500 0.2500 0.7500
Au2 Au 0.2500 0.7500 0.2500
Au3 Au 0.7500 0.2500 0.2500
Au4 Au 0.7500 0.7500 0.7500
```



Record 11
Material: La2Cu12Ni3Au
Method: DFT, GGA-PBE
State: optimized geometry

Values from the calculation:
ΔH_f (0 K): 198 meV per atom
Raw total energy: -76.1 eV/cell
DOS at the Fermi energy: 12.4 states/eV/cell
Space group: R-3m

Geometry as CIF:
```
data_La2Cu12Ni3Au
_cell_length_a 9.9238
_cell_length_b 9.9238
_cell_length_c 9.9238
_cell_angle_alpha 35.34
_cell_angle_beta 35.34
_cell_angle_gamma 35.34
_symmetry_space_group_name_H-M 'P 1'
_symmetry_Int_Tables_number 1
_symmetry_space_group_name_Hall 'P 1'
loop_
_atom_site_label
_atom_site_type_symbol
_atom_site_fract_x
_atom_site_fract_y
_atom_site_fract_z
La1 La 0.1444 0.1444 0.1444
La2 La 0.8556 0.8556 0.8556
Cu1 Cu 0.0857 0.0857 0.6931
Cu2 Cu 0.0857 0.6931 0.0857
Cu3 Cu 0.1385 0.5668 0.5668
Cu4 Cu 0.3069 0.9143 0.9143
Cu5 Cu 0.4332 0.4332 0.8615
Cu6 Cu 0.4332 0.8615 0.4332
Cu7 Cu 0.5668 0.1385 0.5668
Cu8 Cu 0.5668 0.5668 0.1385
Cu9 Cu 0.6931 0.0857 0.0857
Cu10 Cu 0.8615 0.4332 0.4332
Cu11 Cu 0.9143 0.3069 0.9143
Cu12 Cu 0.9143 0.9143 0.3069
Ni1 Ni 0.0000 0.5000 0.5000
Ni2 Ni 0.5000 0.0000 0.5000
Ni3 Ni 0.5000 0.5000 0.0000
Au1 Au 0.5000 0.5000 0.5000
```



Record 12
Material: La2Cu3Pd12Au
Method: DFT, GGA-PBE
State: optimized geometry

Values from the calculation:
ΔH_f (0 K): 32 meV per atom
Raw total energy: -87.2 eV/cell
DOS at the Fermi energy: 11.4 states/eV/cell
Space group: R-3m

Geometry as CIF:
```
data_La2Cu3Pd12Au
_cell_length_a 7.7400
_cell_length_b 7.7400
_cell_length_c 7.7400
_cell_angle_alpha 64.86
_cell_angle_beta 64.86
_cell_angle_gamma 64.86
_symmetry_space_group_name_H-M 'P 1'
_symmetry_Int_Tables_number 1
_symmetry_space_group_name_Hall 'P 1'
loop_
_atom_site_label
_atom_site_type_symbol
_atom_site_fract_x
_atom_site_fract_y
_atom_site_fract_z
La1 La 0.1110 0.1110 0.1110
La2 La 0.8890 0.8890 0.8890
Cu1 Cu 0.0000 0.5000 0.5000
Cu2 Cu 0.5000 0.0000 0.5000
Cu3 Cu 0.5000 0.5000 0.0000
Pd1 Pd 0.1068 0.6495 0.6495
Pd2 Pd 0.1266 0.1266 0.6174
Pd3 Pd 0.1266 0.6174 0.1266
Pd4 Pd 0.3505 0.3505 0.8932
Pd5 Pd 0.3505 0.8932 0.3505
Pd6 Pd 0.3826 0.8734 0.8734
Pd7 Pd 0.6174 0.1266 0.1266
Pd8 Pd 0.6495 0.1068 0.6495
Pd9 Pd 0.6495 0.6495 0.1068
Pd10 Pd 0.8734 0.3826 0.8734
Pd11 Pd 0.8734 0.8734 0.3826
Pd12 Pd 0.8932 0.3505 0.3505
Au1 Au 0.5000 0.5000 0.5000
```